The following is a DFT calculation (PBE-GGA) of a relaxed structure of CaLaY.

The structure belongs to space group P4/nmm (No. 129, origin choice 2); the cell edges are 3.746, 3.746 and 15.880 Å and the angles 90.00°, 90.00° and 90.00°. The distinct sites, in fractional coordinates, are Ca at (0.250, 0.250, 0.092), La at (0.250, 0.250, 0.414) and Y at (0.250, 0.250, 0.740).

The density of states at the Fermi level is 11.0 states/eV/cell. As for the formation energy: 15 kJ/mol of formula units. The calculated total energy is -26.47 eV/cell.